# CdHg2W PBEsol relaxed
# - Density: 15.51 g/cm³
# - Electronic total energy: -3.524 eV/atom
data_CdHg2W
_chemical_formula_sum 'Cd2 Hg4 W2'
_symmetry_space_group_name_H-M 'C 1 m 1'
_symmetry_Int_Tables_number 8
_symmetry_space_group_name_Hall 'C -2y'
_cell_length_a 10.993
_cell_length_b 2.896
_cell_length_c 5.268
_cell_angle_alpha 90.00
_cell_angle_beta 117.08
_cell_angle_gamma 90.00
loop_
_atom_site_label
_atom_site_type_symbol
_atom_site_fract_x
_atom_site_fract_y
_atom_site_fract_z
Cd1 Cd 0.000 0.000 0.000
Hg1 Hg 0.244 0.000 0.922
Hg2 Hg 0.485 0.000 0.484
W1 W 0.241 0.500 0.435

***

# SrBe2AgGe PBEsol relaxed
# - Density: 3.20 g/cm³
# - Electronic total energy: -1.621 eV/atom
data_SrBe2AgGe
_chemical_formula_sum 'Sr1 Be2 Ag1 Ge1'
_symmetry_space_group_name_H-M 'P 4/m m m'
_symmetry_Int_Tables_number 123
_symmetry_space_group_name_Hall '-P 4 2'
_cell_length_a 5.202
_cell_length_b 5.202
_cell_length_c 5.490
_cell_angle_alpha 90.00
_cell_angle_beta 90.00
_cell_angle_gamma 90.00
loop_
_atom_site_label
_atom_site_type_symbol
_atom_site_fract_x
_atom_site_fract_y
_atom_site_fract_z
Sr1 Sr 0.000 0.000 0.000
Be1 Be 0.000 0.500 0.000
Ag1 Ag 0.500 0.500 0.500
Ge1 Ge 0.000 0.000 0.500